First-principles (PBE) data for an optimized crystal structure of VCoSn2, as listed in Alexandria.

Cell: 4.597 4.597 4.597 Å, 60.00 60.00 60.00°
Fractional positions:
V1 0.000 0.000 0.000
Co1 0.500 0.500 0.500
Sn1 0.250 0.250 0.250
Sn2 0.750 0.750 0.750

Excess energy over the best structure of this formula in the dataset in meV/atom: 0
DOS at the Fermi energy in states/eV/f.u.: 1.118
E_form in eV per atom: 0.21
Raw total energy in eV per atom: -5.84

=====

First-principles (PBE) data for an optimized crystal structure of ScNiAu2, as listed in Alexandria.

Cell: 5.868 5.868 5.868 Å, 102.18 102.18 125.31°
Fractional positions:
Sc1 0.000 0.000 0.000
Sc2 0.750 0.250 0.500
Ni1 0.250 0.750 0.500
Ni2 0.500 0.500 0.000
Au1 0.157 0.625 0.032
Au2 0.375 0.407 0.532
Au3 0.593 0.125 0.968
Au4 0.875 0.843 0.468

DOS at the Fermi energy in states/eV/f.u.: 3.623
E_form in eV per atom: -0.20
Raw total energy in eV per atom: -4.86

=====

First-principles (PBE) data for an optimized crystal structure of Al2S3, as listed in Alexandria.

Cell: 6.404 8.674 15.920 Å, 97.34 99.62 109.77°
Fractional positions:
Al1 0.000 0.000 0.000
Al2 0.023 0.737 0.638
Al3 0.056 0.068 0.588
Al4 0.092 0.501 0.728
Al5 0.165 0.173 0.844
Al6 0.204 0.463 0.986
Al7 0.430 0.767 0.070
Al8 0.479 0.093 0.275
Al9 0.633 0.237 0.063
Al10 0.747 0.583 0.279
Al11 0.781 0.790 0.473
Al12 0.879 0.851 0.214
S1 0.000 0.372 0.842
S2 0.001 0.262 0.059
S3 0.136 0.105 0.255
S4 0.170 0.859 0.526
S5 0.274 0.332 0.660
S6 0.288 0.772 0.757
S7 0.348 0.157 0.733
S8 0.364 0.980 0.016
S9 0.479 0.354 0.960
S10 0.503 0.842 0.219
S11 0.568 0.552 0.386
S12 0.609 0.134 0.420
S13 0.681 0.315 0.211
S14 0.751 0.867 0.616
S15 0.801 0.786 0.061
S16 0.829 0.461 0.610
S17 0.884 0.053 0.437
S18 0.896 0.946 0.858

DOS at the Fermi energy in states/eV/f.u.: 0.000
Raw total energy in eV per atom: -4.76
E_form (uncorrected) in eV per atom: -0.79

=====

First-principles (PBE) data for an optimized crystal structure of Be2AuBr, as listed in Alexandria.

Cell: 6.649 6.649 6.649 Å, 29.78 29.78 29.78°
Fractional positions:
Be1 0.238 0.238 0.238
Be2 0.762 0.762 0.762
Au1 0.500 0.500 0.500
Br1 0.000 0.000 0.000

Excess energy over the best structure of this formula in the dataset in meV/atom: 353
DOS at the Fermi energy in states/eV/f.u.: 1.199
Raw total energy in eV per atom: -2.89
E_form (uncorrected) in eV per atom: 0.21

=====

First-principles (PBE) data for an optimized crystal structure of MnInIr, as listed in Alexandria.

Cell: 2.815 4.829 7.050 Å, 90.00 90.00 90.00°
Fractional positions:
Mn1 0.000 0.208 0.000
Mn2 0.000 0.792 0.000
In1 0.000 0.000 0.363
In2 0.000 0.500 0.645
Ir1 0.500 0.000 0.720
Ir2 0.500 0.500 0.233

DOS at the Fermi energy in states/eV/f.u.: 2.846
E_form in eV per atom: 0.14
Raw total energy in eV per atom: -6.79

=====

First-principles (PBE) data for an optimized crystal structure of AcLa2AgOs, as listed in Alexandria.

Cell: 5.513 5.513 5.998 Å, 90.00 90.00 90.00°
Fractional positions:
Ac1 0.000 0.000 0.000
La1 0.000 0.500 0.469
La2 0.500 0.000 0.469
Ag1 0.500 0.500 0.123
Os1 0.000 0.000 0.520

DOS at the Fermi energy in states/eV/f.u.: 4.396
E_form in eV per atom: -0.03
Raw total energy in eV per atom: -5.64

=====

Q: Look up the DOS at the Fermi energy of the second one.
A: 3.623 states/eV/f.u.